(1)
HgRh2Pb (PBE, optimized geometry); E_form = 71 meV/atom; size of the total moment = 0.0 μB/f.u.; energy = -4.607 eV per atom; DOS(E_F) = 0.505 states/eV per atom
1.0
4.5335 0.0000 0.0000
0.0000 4.5335 0.0000
0.0000 0.0000 3.5283
Hg Rh Pb
1 2 1
Direct
0.0000 0.0000 0.0000 Hg
0.0000 0.5000 0.5000 Rh
0.5000 0.0000 0.5000 Rh
0.5000 0.5000 0.0000 Pb

(2)
ZnCdAs (PBE, optimized geometry); E_form = 177 meV/atom; excess energy over the best structure of this formula in the dataset = 237.7 meV/atom; size of the total moment = 0.0 μB/f.u.; energy = -2.102 eV per atom; DOS(E_F) = 0.360 states/eV per atom
1.0
3.0279 0.0000 0.0000
-1.5139 2.6222 0.0000
0.0000 0.0000 7.3747
Zn Cd As
1 1 1
Direct
0.0000 0.0000 0.0000 Zn
0.6667 0.3333 0.6775 Cd
0.3333 0.6667 0.2946 As

What is the formula in the first record?
HgRh2Pb